No. 1
CdFeNi2 after structural relaxation. Source: Alexandria via LeMat-Bulk, functional GGA-PBE.

The value obtained for the calculated density is 8.85 g/cm3. The calculation puts the density of states at the Fermi level at 6.33 states/eV/cell. For the total DFT energy (no corrections), the calculation gives -0.186 Ha/atom.

It has space group I-4m2 (No. 119), with a = 3.702 Å, b = 3.702 Å, c = 7.823 Å, α = 90.00°, β = 90.00° and γ = 90.00°. The inequivalent atoms are Cd at (0.000, 0.000, 0.000), Fe at (0.000, 0.500, 0.750), Ni at (0.000, 0.000, 0.500) and Ni at (0.000, 0.500, 0.250).

***

No. 2
Cd2FeNi after structural relaxation. Source: Alexandria via LeMat-Bulk, functional GGA-PBE.

The value obtained for the calculated density is 8.91 g/cm3. The calculation puts the density of states at the Fermi level at 2.84 states/eV/cell. For the total DFT energy (no corrections), the calculation gives -0.139 Ha/atom. The value obtained for the energy above the lowest structure with this stoichiometry is 0.44 eV per formula unit.

It has space group P2/m (No. 10), with a = 2.887 Å, b = 2.892 Å, c = 7.575 Å, α = 90.00°, β = 90.09° and γ = 90.00°. The inequivalent atoms are Cd at (0.000, 0.000, 0.239), Fe at (0.500, 0.500, 0.500) and Ni at (0.500, 0.500, 0.000).

***

Copy entry 2 word for word.
Cd2FeNi after structural relaxation. Source: Alexandria via LeMat-Bulk, functional GGA-PBE.

The value obtained for the calculated density is 8.91 g/cm3. The calculation puts the density of states at the Fermi level at 2.84 states/eV/cell. For the total DFT energy (no corrections), the calculation gives -0.139 Ha/atom. The value obtained for the energy above the lowest structure with this stoichiometry is 0.44 eV per formula unit.

It has space group P2/m (No. 10), with a = 2.887 Å, b = 2.892 Å, c = 7.575 Å, α = 90.00°, β = 90.09° and γ = 90.00°. The inequivalent atoms are Cd at (0.000, 0.000, 0.239), Fe at (0.500, 0.500, 0.500) and Ni at (0.500, 0.500, 0.000).

***

Which value of calculated density does entry 2 give?
8.91 g/cm3

***

Please write out number 1 again, unchanged.
CdFeNi2 after structural relaxation. Source: Alexandria via LeMat-Bulk, functional GGA-PBE.

The value obtained for the calculated density is 8.85 g/cm3. The calculation puts the density of states at the Fermi level at 6.33 states/eV/cell. For the total DFT energy (no corrections), the calculation gives -0.186 Ha/atom.

It has space group I-4m2 (No. 119), with a = 3.702 Å, b = 3.702 Å, c = 7.823 Å, α = 90.00°, β = 90.00° and γ = 90.00°. The inequivalent atoms are Cd at (0.000, 0.000, 0.000), Fe at (0.000, 0.500, 0.750), Ni at (0.000, 0.000, 0.500) and Ni at (0.000, 0.500, 0.250).

***

Look up the calculated density of the first one.
8.85 g/cm3